Computed, not measured: an optimized crystal structure of BaSiRh4 at the PBE level of DFT.

## Properties
SG: F-43m, No. 216
V in Å³ per atom: 18.4
Formation energy without anion corrections in meV per atom: 215

a b c (Å): 5.3835 5.3835 5.3835
angles (deg): 60.00 60.00 60.00
Last column: nearest neighbours and their distance in Å.
Sites, in units of the cell vectors:
Ba1 0.0000 0.0000 0.0000  12 Rh 3.16, 4 Si 3.30
Si1 0.2500 0.2500 0.2500  12 Rh 3.15, 4 Ba 3.30
Rh1 0.1299 0.6234 0.6234  6 Rh 2.66-2.73
Rh2 0.6234 0.1299 0.6234  6 Rh 2.66-2.73
Rh3 0.6234 0.6234 0.1299  6 Rh 2.66-2.73
Rh4 0.6234 0.6234 0.6234  6 Rh 2.66-2.73